The following is a PBE calculation of LiNi3P2 after structural relaxation, from Alexandria via LeMat-Bulk.

```
LiNi3P2
1.0
9.020 0.000 0.000
0.000 7.181 0.000
-0.021 0.000 15.628
Li Ni P
14 42 28
direct
0.000 0.000 0.000
0.004 0.250 0.667
0.004 0.750 0.667
0.005 0.500 0.000
0.011 0.000 0.220
0.164 0.500 0.392
0.330 0.500 0.885
0.502 0.000 0.501
0.502 0.251 0.166
0.502 0.749 0.166
0.503 0.500 0.498
0.512 0.000 0.724
0.664 0.000 0.891
0.835 0.500 0.384
0.018 0.500 0.233
0.102 0.250 0.863
0.102 0.750 0.863
0.159 0.251 0.118
0.159 0.749 0.118
0.160 0.000 0.395
0.223 0.243 0.274
0.223 0.757 0.274
0.249 0.248 0.519
0.249 0.752 0.519
0.259 0.500 0.639
0.263 0.000 0.640
0.304 0.255 0.753
0.304 0.745 0.753
0.331 0.500 0.052
0.335 0.000 0.050
0.345 0.000 0.876
0.412 0.500 0.310
0.418 0.000 0.306
0.480 0.246 0.974
0.480 0.754 0.974
0.518 0.500 0.725
0.602 0.247 0.363
0.602 0.753 0.363
0.655 0.500 0.895
0.659 0.249 0.617
0.659 0.751 0.617
0.726 0.251 0.773
0.726 0.749 0.773
0.747 0.254 0.018
0.747 0.746 0.018
0.758 0.500 0.139
0.764 0.000 0.138
0.803 0.256 0.251
0.803 0.744 0.251
0.832 0.500 0.550
0.834 0.000 0.378
0.835 0.000 0.552
0.912 0.500 0.808
0.918 0.000 0.809
0.981 0.247 0.475
0.981 0.753 0.475
0.002 0.241 0.335
0.002 0.759 0.335
0.083 0.500 0.541
0.091 0.000 0.540
0.146 0.500 0.770
0.158 0.000 0.774
0.231 0.248 0.983
0.231 0.752 0.983
0.265 0.500 0.191
0.276 0.000 0.186
0.363 0.245 0.394
0.363 0.755 0.394
0.415 0.253 0.623
0.415 0.747 0.623
0.506 0.258 0.833
0.506 0.742 0.833
0.584 0.500 0.036
0.588 0.000 0.042
0.645 0.500 0.270
0.658 0.000 0.271
0.732 0.247 0.482
0.732 0.753 0.482
0.769 0.500 0.687
0.775 0.000 0.689
0.863 0.252 0.894
0.863 0.748 0.894
0.914 0.255 0.122
0.914 0.745 0.122
```

Results
Space group: Pm
DFT formation energy (meV/atom): -609
Total magnetic moment (μB per atom): 0.000

=====

The following is a PBE calculation of InAg2I2 after structural relaxation, from Alexandria via LeMat-Bulk.

```
InAg2I2
1.0
-2.076 2.076 8.964
2.076 -2.076 8.964
2.076 2.076 -8.964
In Ag I
1 2 2
direct
0.000 0.000 0.000
0.250 0.750 0.500
0.750 0.250 0.500
0.384 0.384 0.000
0.616 0.616 0.000
```

Results
Energy relative to the elements, uncorrected (kJ per mole of atoms): 0
Space group: I4/mmm
Total magnetic moment (μB per atom): 0.000

=====

The following is a PBE calculation of HfTe2MoPt after structural relaxation, from Alexandria via LeMat-Bulk.

```
HfTe2MoPt
1.0
5.187 0.000 0.000
0.000 5.187 0.000
0.000 0.000 4.843
Hf Te Mo Pt
1 2 1 1
direct
0.000 0.000 0.000
0.000 0.500 0.500
0.500 0.000 0.500
0.500 0.500 0.500
0.500 0.500 0.000
```

Results
Distance to the lowest polymorph of the same formula (meV/atom): 0.0
Energy relative to the elements, uncorrected (kJ per mole of atoms): 73
Space group: P4/mmm
Total magnetic moment (μB per atom): 0.156

=====

The following is a PBE calculation of TlBiTeBr2 after structural relaxation, from Alexandria via LeMat-Bulk.

```
TlBiTeBr2
1.0
2.226 -9.573 0.000
2.226 9.573 0.000
0.000 0.000 8.879
Tl Bi Te Br
2 2 2 4
direct
0.218 0.782 0.750
0.782 0.218 0.250
0.500 0.500 0.000
0.500 0.500 0.500
0.026 0.974 0.250
0.974 0.026 0.750
0.349 0.651 0.019
0.349 0.651 0.481
0.651 0.349 0.519
0.651 0.349 0.981
```

Results
Energy relative to the elements, uncorrected (kJ per mole of atoms): -54
Space group: Cmcm
Total magnetic moment (μB per atom): 0.000